[1]
Here is crystalline TaTi3Zn at its relaxed geometry from Alexandria. Energies are from PBE.

Cell and atoms, written as extended XYZ:
```
10
Lattice="4.659 0.000 0.000 -2.322 4.924 0.000 -0.006 -2.398 7.320" Properties=species:S:1:pos:R:3 pbc="T T T"
Ta 0.002 1.332 0.322
Ta 2.328 1.194 6.998
Ti -0.004 -0.231 2.597
Ti -0.003 0.663 5.445
Ti 0.006 4.064 1.085
Ti 2.324 -1.539 6.235
Ti 2.333 1.863 1.875
Ti 2.335 2.756 4.723
Zn 0.005 2.498 3.287
Zn 2.325 0.028 4.032
```

Output
Calculated formation energy in eV per atom: -0.025
Energy above the lowest structure with this stoichiometry in eV/atom: 0.000
Space-group type: P-1 (2)
Electronic total energy in eV per atom: -7.387
Crystal system: triclinic

***

[2]
Here is crystalline Ca2LaTlH at its relaxed geometry from Alexandria. Energies are from PBE.

Cell and atoms, written as extended XYZ:
```
5
Lattice="6.440 0.000 0.000 0.000 6.440 0.000 0.000 0.000 4.055" Properties=species:S:1:pos:R:3 pbc="T T T"
Ca 0.000 3.220 0.000
Ca 3.220 0.000 0.000
La 0.000 0.000 2.028
Tl 3.220 3.220 0.000
H 3.220 3.220 2.028
```

Output
Energy above the lowest structure with this stoichiometry in eV/atom: 0.700
Space-group type: P4/mmm (123)
Electronic total energy in eV per atom: -2.547
Crystal system: tetragonal

***

[3]
Here is crystalline GaCo2SbRh at its relaxed geometry from Alexandria. Energies are from PBE.

Cell and atoms, written as extended XYZ:
```
5
Lattice="4.646 0.000 0.000 0.000 4.646 0.000 0.000 0.000 4.624" Properties=species:S:1:pos:R:3 pbc="T T T"
Ga 0.000 0.000 0.000
Co 0.000 2.323 2.312
Co 2.323 0.000 2.312
Sb 2.323 2.323 0.000
Rh 0.000 0.000 2.312
```

Output
Formation energy without anion corrections in meV per atom: 756
Space-group type: P4/mmm (123)
Electronic total energy in eV per atom: -4.987
Crystal system: tetragonal

***

[4]
Here is crystalline Sr2BiI at its relaxed geometry from Alexandria. Energies are from PBE.

Cell and atoms, written as extended XYZ:
```
16
Lattice="4.876 -9.674 0.000 4.876 9.674 0.000 -4.820 0.000 7.011" Properties=species:S:1:pos:R:3 pbc="T T T"
Sr -1.182 3.641 5.063
Sr 0.966 1.221 1.562
Sr -1.444 -1.221 5.068
Sr 1.228 -3.641 1.558
Sr 3.704 3.641 5.453
Sr 6.376 1.221 1.943
Sr 3.966 -1.221 5.449
Sr 6.114 -3.641 1.948
Bi 3.671 8.344 1.753
Bi 1.261 5.923 5.258
Bi 3.671 -5.923 1.753
Bi 1.261 -8.344 5.258
I 3.671 3.495 1.753
I 1.261 1.081 5.258
I 3.671 -1.081 1.753
I 1.261 -3.495 5.258
```

Output
Formation energy without anion corrections in meV per atom: -1234
Space-group type: C2/c (15)
Electronic total energy in eV per atom: -3.433
Crystal system: monoclinic

***

[5]
Here is crystalline Mn2SiNi at its relaxed geometry from Alexandria. Energies are from PBE.

Cell and atoms, written as extended XYZ:
```
4
Lattice="2.649 0.000 0.000 0.000 3.321 0.000 0.000 0.000 5.196" Properties=species:S:1:pos:R:3 pbc="T T T"
Mn 0.000 0.000 0.000
Mn 1.324 1.661 1.200
Si 1.324 1.661 3.805
Ni 0.000 0.000 2.626
```

Output
Formation energy without anion corrections in meV per atom: -217
Space-group type: Pmm2 (25)
Electronic total energy in eV per atom: -7.603
Crystal system: orthorhombic

***

[6]
Here is crystalline KPaIn2Cl8 at its relaxed geometry from Alexandria. Energies are from PBE.

Cell and atoms, written as extended XYZ:
```
12
Lattice="6.979 0.000 0.000 0.433 7.392 0.000 0.006 0.015 9.230" Properties=species:S:1:pos:R:3 pbc="T T T"
K 0.000 0.000 0.000
Pa 0.003 0.008 4.615
In 3.708 3.696 2.108
In 3.710 3.711 7.123
Cl 0.952 1.540 2.767
Cl 0.960 1.540 6.458
Cl 2.577 6.039 4.609
Cl 2.744 5.294 0.002
Cl 4.674 2.113 9.228
Cl 4.841 1.368 4.621
Cl 6.458 5.867 2.772
Cl 6.466 5.868 6.464
```

Output
Formation energy without anion corrections in meV per atom: -1545
Space-group type: P-1 (2)
Electronic total energy in eV per atom: -4.115
Crystal system: triclinic